The following is a DFT calculation (GGA-PBE) of an optimized crystal structure of TlAg3SnO4.

Calculated values
Calculated total energy in eV for the cell shown: -38.1

Cell lengths 5.7284, 5.7284, 5.7284 Å; angles 90.00, 90.00, 90.00 degrees
Closest atoms and distances in Å follow each position.
Atoms (fractional coordinates):
Ag: 0.5000 0.5000 0.0000  4 O 2.37
Ag: 0.0000 0.5000 0.5000  4 O 2.37
Ag: 0.5000 0.0000 0.5000  4 O 2.37
O: 0.2952 0.7048 0.7048  1 Sn 2.03
Sn: 0.5000 0.5000 0.5000  4 O 2.03
O: 0.7048 0.7048 0.2952  1 Sn 2.03
Tl: 0.0000 0.0000 0.0000  4 O 2.93
O: 0.2952 0.2952 0.2952  1 Sn 2.03
O: 0.7048 0.2952 0.7048  1 Sn 2.03

---

The following is a DFT calculation (GGA-PBE) of an optimized crystal structure of TlAgSnO3.

Calculated values
Calculated total energy in eV for the cell shown: -119.2

Cell lengths 3.2778, 9.1528, 13.4369 Å; angles 90.00, 90.00, 90.00 degrees
Closest atoms and distances in Å follow each position.
Atoms (fractional coordinates):
Sn: 0.2500 0.3453 0.4823  6 O 2.00-2.16
Ag: 0.7500 0.4692 0.0862  2 O 2.10-2.12
O: 0.2500 0.5310 0.5794  3 Sn 2.14-2.16
O: 0.2500 0.1938 0.3750  1 Sn 2.00, 1 Ag 2.12
Sn: 0.7500 0.8453 0.0177  6 O 2.00-2.16
Tl: 0.2500 0.6081 0.2584  3 O 2.55-2.66
Sn: 0.7500 0.6547 0.5177  6 O 2.00-2.16
Tl: 0.7500 0.1081 0.2416  3 O 2.55-2.66
O: 0.7500 0.8062 0.6250  1 Sn 2.00, 1 Ag 2.12
O: 0.2500 0.9690 0.0794  3 Sn 2.14-2.16
Ag: 0.2500 0.5308 0.9138  2 O 2.10-2.12
O: 0.2500 0.3062 0.8750  1 Sn 2.00, 1 Ag 2.12
O: 0.2500 0.7584 0.9344  1 Ag 2.10, 2 Sn 2.14
O: 0.2500 0.7416 0.4344  1 Ag 2.10, 2 Sn 2.14
Ag: 0.2500 0.9692 0.4138  2 O 2.10-2.12
O: 0.7500 0.0310 0.9206  3 Sn 2.14-2.16
Sn: 0.2500 0.1547 0.9823  6 O 2.00-2.16
O: 0.7500 0.4690 0.4206  3 Sn 2.14-2.16
Ag: 0.7500 0.0308 0.5862  2 O 2.10-2.12
O: 0.7500 0.2416 0.0656  1 Ag 2.10, 2 Sn 2.14
O: 0.7500 0.6938 0.1250  1 Sn 2.00, 1 Ag 2.12
Tl: 0.2500 0.8919 0.7584  3 O 2.55-2.66
O: 0.7500 0.2584 0.5656  1 Ag 2.10, 2 Sn 2.14
Tl: 0.7500 0.3919 0.7416  3 O 2.55-2.66

---

The following is a DFT calculation (GGA-PBE) of an optimized crystal structure of SrAg3O4.

Calculated values
Calculated total energy in eV for the cell shown: -73.4

Cell lengths 6.0957, 6.0957, 6.0957 Å; angles 90.00, 90.00, 90.00 degrees
Closest atoms and distances in Å follow each position.
Atoms (fractional coordinates):
O: 0.2500 0.7500 0.2500  3 Ag 2.16
Sr: 0.0000 0.0000 0.0000  8 O 2.64
O: 0.7500 0.2500 0.7500  3 Ag 2.16
Ag: 0.0000 0.5000 0.7500  4 O 2.16
O: 0.7500 0.2500 0.2500  3 Ag 2.16
O: 0.7500 0.7500 0.2500  3 Ag 2.16
Ag: 0.2500 0.0000 0.5000  4 O 2.16
Ag: 0.5000 0.2500 0.0000  4 O 2.16
Sr: 0.5000 0.5000 0.5000  8 O 2.64
Ag: 0.7500 0.0000 0.5000  4 O 2.16
Ag: 0.0000 0.5000 0.2500  4 O 2.16
Ag: 0.5000 0.7500 0.0000  4 O 2.16
O: 0.2500 0.2500 0.7500  3 Ag 2.16
O: 0.2500 0.7500 0.7500  3 Ag 2.16
O: 0.7500 0.7500 0.7500  3 Ag 2.16
O: 0.2500 0.2500 0.2500  3 Ag 2.16

---

Which volume belongs to each record? In order, 20.89 16.80 14.16 Å³ per atom.